PrZn8Ag2 | GGA-PBE | optimized geometry

Formation energy   0.187 eV per atom
Energy   -1.6929 eV/atom

```
data_PrZn8Ag2
_cell_length_a 5.137
_cell_length_b 5.137
_cell_length_c 9.322
_cell_angle_alpha 90.00
_cell_angle_beta 90.00
_cell_angle_gamma 90.00
_space_group_name_H-M_alt 'P 4/m m m'
_space_group_IT_number 123
_space_group_name_Hall '-P 4 2'
loop_
_atom_site_label
_atom_site_type_symbol
_atom_site_fract_x
_atom_site_fract_y
_atom_site_fract_z
_atom_site_occupancy
Pr1 Pr 0.000 0.000 0.000 1
Zn1 Zn 0.252 0.252 0.273 1
Ag1 Ag 0.000 0.500 0.500 1
```